[1]
# CsTcSbTe2, optimized geometry, DFT PBE-GGA
data_CsTcSbTe2
_chemical_formula_sum 'Cs1 Tc1 Sb1 Te2'
_symmetry_space_group_name_H-M 'P 4/m m m'
_symmetry_Int_Tables_number 123
_symmetry_space_group_name_Hall '-P 4 2'
_cell_length_a 6.2870
_cell_length_b 6.2870
_cell_length_c 6.2341
_cell_angle_alpha 90.00
_cell_angle_beta 90.00
_cell_angle_gamma 90.00
loop_
_atom_site_label
_atom_site_type_symbol
_atom_site_fract_x
_atom_site_fract_y
_atom_site_fract_z
_atom_site_occupancy
Cs1 Cs 0.0000 0.0000 0.0000 1
Tc1 Tc 0.5000 0.5000 0.5000 1
Sb1 Sb 0.0000 0.0000 0.5000 1
Te1 Te 0.0000 0.5000 0.0000 1
# ρ = 4.1 Mg/m³
# raw formation energy = 1984 meV/atom
# excess energy over the best structure of this formula in the dataset = 1936 meV/atom
# total energy = -2.341 eV per atom
# DOS at the Fermi energy = 7.0 states/eV/cell

[2]
# CaTbTc, optimized geometry, DFT PBE-GGA
data_CaTbTc
_chemical_formula_sum 'Ca4 Tb4 Tc4'
_symmetry_space_group_name_H-M 'C 1 2/m 1'
_symmetry_Int_Tables_number 12
_cell_length_a 8.8002
_cell_length_b 5.0996
_cell_length_c 7.6099
_cell_angle_alpha 90.00
_cell_angle_beta 112.53
_cell_angle_gamma 90.00
loop_
_symmetry_equiv_pos_as_xyz
'x,y,z'
'-x,-y,-z'
'-x,y,-z'
'x,-y,z'
'x+1/2,y+1/2,z'
'-x+1/2,-y+1/2,-z'
'-x+1/2,y+1/2,-z'
'x+1/2,-y+1/2,z'
loop_
_atom_site_label
_atom_site_type_symbol
_atom_site_fract_x
_atom_site_fract_y
_atom_site_fract_z
_atom_site_occupancy
Ca1 Ca 0.2063 0.0000 0.1167 1
Tb1 Tb 0.1266 0.5000 0.3778 1
Tc1 Tc 0.0535 0.0000 0.6634 1
# ρ = 6.3 Mg/m³
# total energy = -5.498 eV per atom
# DOS at the Fermi energy = 15.3 states/eV/cell
# ΔE_f = 0.17 eV/atom

[3]
# YTcN3, optimized geometry, DFT PBE-GGA
data_YTcN3
_chemical_formula_sum 'Y2 Tc2 N6'
_symmetry_space_group_name_H-M 'P 1'
_symmetry_Int_Tables_number 1
_cell_length_a 4.1539
_cell_length_b 5.6978
_cell_length_c 6.3572
_cell_angle_alpha 109.73
_cell_angle_beta 108.57
_cell_angle_gamma 90.15
loop_
_symmetry_equiv_pos_as_xyz
'x,y,z'
loop_
_atom_site_label
_atom_site_type_symbol
_atom_site_fract_x
_atom_site_fract_y
_atom_site_fract_z
_atom_site_occupancy
Y1 Y 0.0000 0.0000 0.0000 1
Y2 Y 0.4373 0.4118 0.8417 1
Tc1 Tc 0.6813 0.7846 0.4315 1
Tc2 Tc 0.7573 0.2919 0.4216 1
N1 N 0.1841 0.2808 0.4195 1
N2 N 0.2277 0.6931 0.2100 1
N3 N 0.5316 0.1747 0.0716 1
N4 N 0.8147 0.1415 0.6803 1
N5 N 0.8195 0.6285 0.6845 1
N6 N 0.9202 0.6951 0.2033 1
# ρ = 5.7 Mg/m³
# raw formation energy = -510 meV/atom
# total energy = -8.871 eV per atom
# DOS at the Fermi energy = 3.2 states/eV/cell

[4]
# KAlOs2, optimized geometry, DFT PBE-GGA
data_KAlOs2
_chemical_formula_sum 'K2 Al2 Os4'
_symmetry_space_group_name_H-M 'I m m 2'
_symmetry_Int_Tables_number 44
_cell_length_a 2.7041
_cell_length_b 5.3686
_cell_length_c 10.8030
_cell_angle_alpha 90.00
_cell_angle_beta 90.00
_cell_angle_gamma 90.00
loop_
_symmetry_equiv_pos_as_xyz
'x,y,z'
'-x,-y,z'
'-x,y,z'
'x,-y,z'
'x+1/2,y+1/2,z+1/2'
'-x+1/2,-y+1/2,z+1/2'
'-x+1/2,y+1/2,z+1/2'
'x+1/2,-y+1/2,z+1/2'
loop_
_atom_site_label
_atom_site_type_symbol
_atom_site_fract_x
_atom_site_fract_y
_atom_site_fract_z
_atom_site_occupancy
K1 K 0.0000 0.0000 0.0000 1
Al1 Al 0.0000 0.5000 0.2002 1
Os1 Os 0.0000 0.0000 0.4927 1
Os2 Os 0.0000 0.5000 0.7951 1
# ρ = 9.5 Mg/m³
# total energy = -5.903 eV per atom
# DOS at the Fermi energy = 6.3 states/eV/cell
# ΔE_f = 0.92 eV/atom

[5]
# Pm6Al2Sn, optimized geometry, DFT PBE-GGA
data_Pm6Al2Sn
_chemical_formula_sum 'Pm24 Al8 Sn4'
_symmetry_space_group_name_H-M 'I m m m'
_symmetry_Int_Tables_number 71
_symmetry_space_group_name_Hall '-I 2 2'
_cell_length_a 9.8511
_cell_length_b 10.0036
_cell_length_c 11.0383
_cell_angle_alpha 90.00
_cell_angle_beta 90.00
_cell_angle_gamma 90.00
loop_
_atom_site_label
_atom_site_type_symbol
_atom_site_fract_x
_atom_site_fract_y
_atom_site_fract_z
_atom_site_occupancy
Pm1 Pm 0.0000 0.2093 0.1781 1
Pm2 Pm 0.1883 0.2204 0.5000 1
Pm3 Pm 0.2014 0.5000 0.2612 1
Al1 Al 0.0000 0.0000 0.3805 1
Al2 Al 0.1387 0.0000 0.0000 1
Sn1 Sn 0.0000 0.5000 0.0000 1
Sn2 Sn 0.0000 0.5000 0.5000 1
# ρ = 6.4 Mg/m³
# total energy = -4.782 eV per atom
# DOS at the Fermi energy = 32.8 states/eV/cell
# ΔE_f = -0.34 eV/atom

[6]
# La2PmDy3Tm6, optimized geometry, DFT PBE-GGA
data_La2PmDy3Tm6
_chemical_formula_sum 'La4 Pm2 Dy6 Tm12'
_symmetry_space_group_name_H-M 'C 1 2/m 1'
_symmetry_Int_Tables_number 12
_cell_length_a 6.1793
_cell_length_b 10.6955
_cell_length_c 11.7141
_cell_angle_alpha 90.00
_cell_angle_beta 100.10
_cell_angle_gamma 90.00
loop_
_symmetry_equiv_pos_as_xyz
'x,y,z'
'-x,-y,-z'
'-x,y,-z'
'x,-y,z'
'x+1/2,y+1/2,z'
'-x+1/2,-y+1/2,-z'
'-x+1/2,y+1/2,-z'
'x+1/2,-y+1/2,z'
loop_
_atom_site_label
_atom_site_type_symbol
_atom_site_fract_x
_atom_site_fract_y
_atom_site_fract_z
_atom_site_occupancy
La1 La 0.0000 0.1665 0.0000 1
Pm1 Pm 0.0000 0.5000 0.0000 1
Dy1 Dy 0.0000 0.0000 0.5000 1
Dy2 Dy 0.0000 0.3334 0.5000 1
Tm1 Tm 0.2469 0.5000 0.7452 1
Tm2 Tm 0.2480 0.1664 0.7452 1
# ρ = 8.4 Mg/m³
# total energy = -4.578 eV per atom
# DOS at the Fermi energy = 30.8 states/eV/cell
# ΔE_f = 0.03 eV/atom